# 1
! Ta2SnC, relaxed, DFT GGA-PBE; values from VASP
! **Space group**: No. 225
! **Formation enthalpy at 0 K**: 1.168 eV/atom
! **N(E_F)**: 4.7 states/eV/cell
! **Magnetization**: 0.000 μB/atom
&SYSTEM
  ibrav = 0, nat = 4, ntyp = 3
/
ATOMIC_SPECIES
C 12.01 C.upf
Sn 118.71 Sn.upf
Ta 180.95 Ta.upf
ATOMIC_POSITIONS crystal
C 0.000 0.000 0.000
Sn 0.500 0.500 0.500
Ta 0.250 0.250 0.250
Ta 0.750 0.750 0.750
CELL_PARAMETERS angstrom
0.000 3.183 3.183
3.183 0.000 3.183
3.183 3.183 0.000


# 2
! PrEr2Pd3, relaxed, DFT GGA-PBE; values from VASP
! **Space group**: No. 123
! **Formation enthalpy at 0 K**: -0.853 eV/atom
! **N(E_F)**: 4.2 states/eV/cell
! **Magnetization**: 0.000 μB/atom
&SYSTEM
  ibrav = 0, nat = 6, ntyp = 3
/
ATOMIC_SPECIES
Pr 140.91 Pr.upf
Er 167.26 Er.upf
Pd 106.42 Pd.upf
ATOMIC_POSITIONS crystal
Pr 0.500 0.500 0.500
Er 0.500 0.500 0.839
Er 0.500 0.500 0.161
Pd 0.000 0.000 0.000
Pd 0.000 0.000 0.691
Pd 0.000 0.000 0.309
CELL_PARAMETERS angstrom
3.489 0.000 0.000
0.000 3.489 0.000
0.000 0.000 10.847


# 3
! Fe2AsRu, relaxed, DFT GGA-PBE; values from VASP
! **Space group**: No. 99
! **Formation enthalpy at 0 K**: 0.012 eV/atom
! **N(E_F)**: 2.3 states/eV/cell
! **Magnetization**: 1.254 μB/atom
&SYSTEM
  ibrav = 0, nat = 4, ntyp = 3
/
ATOMIC_SPECIES
As 74.92 As.upf
Fe 55.84 Fe.upf
Ru 101.07 Ru.upf
ATOMIC_POSITIONS crystal
As 0.500 0.500 0.760
Fe 0.000 0.000 0.005
Fe 0.500 0.500 0.228
Ru 0.000 0.000 0.508
CELL_PARAMETERS angstrom
3.022 0.000 0.000
0.000 3.022 0.000
0.000 0.000 5.699


# 4
! LiNdIn4O8, relaxed, DFT GGA-PBE; values from VASP
! **Space group**: No. 160
! **Uncorrected formation energy**: -1.874 eV per atom
! **Magnetization**: 0.000 μB/atom
&SYSTEM
  ibrav = 0, nat = 14, ntyp = 4
/
ATOMIC_SPECIES
Li 6.94 Li.upf
Nd 144.24 Nd.upf
In 114.82 In.upf
O 16.00 O.upf
ATOMIC_POSITIONS crystal
Li 0.007 0.007 0.978
Nd 0.383 0.383 0.852
In 0.618 0.618 0.145
In 0.001 0.497 0.500
In 0.497 0.001 0.500
In 0.001 0.001 0.500
O 0.238 0.795 0.729
O 0.795 0.238 0.729
O 0.238 0.238 0.729
O 0.240 0.240 0.280
O 0.751 0.225 0.273
O 0.225 0.751 0.273
O 0.751 0.751 0.273
O 0.755 0.755 0.736
CELL_PARAMETERS angstrom
-5.941 0.449 -2.880
-5.154 -3.302 2.514
-4.862 3.183 2.922


# 5
! Pm2BP, relaxed, DFT GGA-PBE; values from VASP
! **Space group**: No. 166
! **Formation enthalpy at 0 K**: -0.520 eV/atom
! **Energy above the lowest structure with this stoichiometry**: 0.00 eV/f.u.
! **N(E_F)**: 3.7 states/eV/cell
! **Magnetization**: 0.000 μB/atom
&SYSTEM
  ibrav = 0, nat = 4, ntyp = 3
/
ATOMIC_SPECIES
P 30.97 P.upf
B 10.81 B.upf
Pm 145.00 Pm.upf
ATOMIC_POSITIONS crystal
P 0.000 0.000 0.000
B 0.500 0.500 0.500
Pm 0.249 0.249 0.254
Pm 0.751 0.751 0.746
CELL_PARAMETERS angstrom
-0.371 0.200 -3.945
0.232 -3.304 -2.184
-6.736 -1.892 -1.458


# 6
! NaN3Cl12, relaxed, DFT GGA-PBE; values from VASP
! **Space group**: No. 161
! **Uncorrected formation energy**: 0.220 eV per atom
! **N(E_F)**: 13.2 states/eV/cell
! **Magnetization**: 0.126 μB/atom
&SYSTEM
  ibrav = 0, nat = 32, ntyp = 3
/
ATOMIC_SPECIES
Na 22.99 Na.upf
N 14.01 N.upf
Cl 35.45 Cl.upf
ATOMIC_POSITIONS crystal
Na 0.024 0.024 0.928
Na 0.524 0.524 0.428
N 0.597 0.434 0.005
N 0.097 0.464 0.505
N 0.934 0.097 0.505
N 0.434 0.964 0.005
N 0.964 0.597 0.005
N 0.464 0.934 0.505
Cl 0.106 0.203 0.914
Cl 0.101 0.351 0.683
Cl 0.063 0.948 0.479
Cl 0.743 0.467 0.881
Cl 0.243 0.409 0.381
Cl 0.563 0.010 0.979
Cl 0.601 0.365 0.183
Cl 0.948 0.510 0.479
Cl 0.606 0.277 0.414
Cl 0.865 0.101 0.683
Cl 0.967 0.243 0.381
Cl 0.277 0.703 0.414
Cl 0.010 0.448 0.979
Cl 0.777 0.106 0.914
Cl 0.467 0.909 0.881
Cl 0.365 0.851 0.183
Cl 0.851 0.601 0.183
Cl 0.448 0.563 0.979
Cl 0.703 0.606 0.414
Cl 0.909 0.743 0.881
Cl 0.409 0.967 0.381
Cl 0.203 0.777 0.914
Cl 0.351 0.865 0.683
Cl 0.510 0.063 0.479
CELL_PARAMETERS angstrom
-8.499 6.607 -5.035
-11.181 -4.008 -0.411
-8.396 5.101 6.841


# 7
! CsBaH6Au2, relaxed, DFT GGA-PBE; values from VASP
! **Space group**: No. 15
! **N(E_F)**: 2.9 states/eV/cell
! **Magnetization**: 0.000 μB/atom
! **Energy**: -3.125 eV/atom
&SYSTEM
  ibrav = 0, nat = 20, ntyp = 4
/
ATOMIC_SPECIES
Cs 132.91 Cs.upf
Ba 137.33 Ba.upf
H 1.01 H.upf
Au 196.97 Au.upf
ATOMIC_POSITIONS crystal
Cs 0.114 0.886 0.250
Cs 0.886 0.114 0.750
Ba 0.626 0.374 0.250
Ba 0.374 0.626 0.750
H 0.954 0.248 0.256
H 0.752 0.046 0.244
H 0.046 0.752 0.744
H 0.248 0.954 0.756
H 0.268 0.272 0.013
H 0.728 0.732 0.487
H 0.732 0.728 0.987
H 0.272 0.268 0.513
H 0.309 0.539 0.269
H 0.461 0.691 0.231
H 0.691 0.461 0.731
H 0.539 0.309 0.769
Au 0.372 0.149 0.766
Au 0.851 0.628 0.734
Au 0.628 0.851 0.234
Au 0.149 0.372 0.266
CELL_PARAMETERS angstrom
-7.043 0.783 2.636
1.854 -5.388 4.969
1.927 4.147 3.620


# 8
! SrAl2Ru, relaxed, DFT GGA-PBE; values from VASP
! **Space group**: No. 12
! **Formation enthalpy at 0 K**: 0.346 eV/atom
! **N(E_F)**: 2.0 states/eV/cell
! **Magnetization**: 0.000 μB/atom
&SYSTEM
  ibrav = 0, nat = 4, ntyp = 3
/
ATOMIC_SPECIES
Ru 101.07 Ru.upf
Al 26.98 Al.upf
Sr 87.62 Sr.upf
ATOMIC_POSITIONS crystal
Ru 0.000 0.500 0.500
Al 0.000 0.000 0.000
Al 0.500 0.000 0.500
Sr 0.500 0.500 0.000
CELL_PARAMETERS angstrom
-4.879 1.736 4.208
2.190 -4.522 0.382
0.722 0.618 3.116